Record 1
Y4GaCuC2 | GGA-PBE | relaxed

## Properties
Spin magnetization, μB/f.u.: 0.00
Space group: P-6m2, No. 187
ρ, g/cm3: 5.147
E, eV per atom: -6.66

Cell: 3.6276 3.6276 14.5191 Å, 90.00 90.00 120.00°
Atoms (fractional coordinates):
Y 0.6667 0.3333 0.1486
Cu 0.3333 0.6667 0.0000
Y 0.6667 0.3333 0.8514
Ga 0.6667 0.3333 0.5000
Y 0.3333 0.6667 0.6645
C 0.0000 0.0000 0.7626
C 0.0000 0.0000 0.2374
Y 0.3333 0.6667 0.3355

***

Record 2
Gd3Tl4Sn2Pb | GGA-PBE | relaxed

## Properties
Spin magnetization, μB/f.u.: 0.01
Space group: Cmmm, No. 65
ρ, g/cm3: 10.490
E above lowest polymorph, eV per formula unit: 0.00

Cell: 12.9789 12.9789 4.6713 Å, 90.00 90.00 159.59°
Atoms (fractional coordinates):
Gd 0.5000 0.5000 0.5000
Sn 0.2080 0.7920 0.0000
Gd 0.6910 0.3090 0.5000
Sn 0.7920 0.2080 0.0000
Tl 0.0984 0.9016 0.5000
Tl 0.9016 0.0984 0.5000
Tl 0.4002 0.5998 0.0000
Tl 0.5998 0.4002 0.0000
Pb 0.0000 0.0000 0.0000
Gd 0.3090 0.6910 0.5000

***

Record 3
Lu4CdPC2 | GGA-PBE | relaxed

## Properties
Spin magnetization, μB/f.u.: 0.67
Space group: P-6m2, No. 187
ρ, g/cm3: 9.057
E, eV per atom: -5.95

Cell: 3.5746 3.5746 14.3691 Å, 90.00 90.00 120.00°
Atoms (fractional coordinates):
C 0.3333 0.6667 0.7284
Lu 0.0000 0.0000 0.6285
Cd 0.0000 0.0000 0.0000
Lu 0.6667 0.3333 0.8095
C 0.3333 0.6667 0.2716
P 0.6667 0.3333 0.5000
Lu 0.0000 0.0000 0.3715
Lu 0.6667 0.3333 0.1905

***

Record 4
MgHg2Bi | GGA-PBE | relaxed

## Properties
Space group: F-43m, No. 216
ρ, g/cm3: 10.026
E, eV per atom: -1.56

Cell: 5.2968 5.2968 5.2968 Å, 60.00 60.00 60.00°
Atoms (fractional coordinates):
Bi 0.5000 0.5000 0.5000
Hg 0.7500 0.7500 0.7500
Hg 0.0000 0.0000 0.0000
Mg 0.2500 0.2500 0.2500

***

Record 5
AcTmGe | GGA-PBE | relaxed

## Properties
Spin magnetization, μB/f.u.: 0.02
Space group: F-43m, No. 216
ρ, g/cm3: 7.326
E above lowest polymorph, eV per formula unit: 0.50

Cell: 5.3157 5.3157 5.3157 Å, 60.00 60.00 60.00°
Atoms (fractional coordinates):
Tm 0.7500 0.7500 0.7500
Ge 0.2500 0.2500 0.2500
Ac 0.0000 0.0000 0.0000

***

Record 6
LaPrAl2 | GGA-PBE | relaxed

## Properties
Spin magnetization, μB/f.u.: 0.01
Space group: P2_1/m, No. 11
ρ, g/cm3: 5.300
E above lowest polymorph, eV per formula unit: 0.00

Cell: 6.0754 5.7617 6.0928 Å, 90.00 101.30 90.00°
Atoms (fractional coordinates):
Al 0.1938 0.2500 0.1988
Pr 0.0164 0.2500 0.6601
La 0.6574 0.2500 0.0169
Al 0.5000 0.0000 0.5000
Pr 0.9836 0.7500 0.3399
Al 0.8062 0.7500 0.8012
La 0.3426 0.7500 0.9831
Al 0.5000 0.5000 0.5000

***

Record 7
Hf2Sc4Ge3C3 | GGA-PBE | relaxed

## Properties
Spin magnetization, μB/f.u.: 0.01
Space group: C2/c, No. 15
ρ, g/cm3: 6.650
E, eV per atom: -7.97

Cell: 5.7406 5.7406 14.2362 Å, 101.74 101.74 60.00°
Atoms (fractional coordinates):
C 0.8230 0.3385 0.5000
C 0.1770 0.6615 0.5000
Sc 0.6969 0.8680 0.0919
Hf 0.3582 0.5289 0.0860
Ge 0.7298 0.5798 0.2492
Sc 0.9655 0.8061 0.9081
C 0.6615 0.1770 0.0000
C 0.0000 0.5000 0.0000
Ge 0.5798 0.7298 0.7492
Sc 0.1939 0.0345 0.5919
Hf 0.6418 0.4711 0.9140
C 0.5000 0.0000 0.5000
C 0.3385 0.8230 0.0000
Sc 0.1320 0.3031 0.4081
Hf 0.4711 0.6418 0.4140
Ge 0.4202 0.2702 0.2508
Hf 0.5289 0.3582 0.5860
Ge 0.8973 0.1027 0.7500
Sc 0.8680 0.6969 0.5919
Sc 0.8061 0.9655 0.4081
Sc 0.0345 0.1939 0.0919
Sc 0.3031 0.1320 0.9081
Ge 0.2702 0.4202 0.7508
Ge 0.1027 0.8973 0.2500

***

Record 8
BaTmMo | GGA-PBE | relaxed

## Properties
Spin magnetization, μB/f.u.: 3.08
Space group: F-43m, No. 216
ρ, g/cm3: 6.887
E above lowest polymorph, eV per formula unit: 1.75

Cell: 5.1570 5.1570 5.1570 Å, 60.00 60.00 60.00°
Atoms (fractional coordinates):
Mo 0.2500 0.2500 0.2500
Ba 0.0000 0.0000 0.0000
Tm 0.7500 0.7500 0.7500

***

Record 9
LaSn2PtAu | GGA-PBE | relaxed

## Properties
Spin magnetization, μB/f.u.: 0.01
Space group: P2_1/m, No. 11
ρ, g/cm3: 10.599
E above lowest polymorph, eV per formula unit: 0.28

Cell: 4.8487 4.6244 10.7452 Å, 90.00 92.19 90.00°
Atoms (fractional coordinates):
Pt 0.1806 0.2500 0.0019
La 0.2337 0.7500 0.2314
Sn 0.7478 0.7500 0.5060
Au 0.7436 0.2500 0.3587
Pt 0.8194 0.7500 0.9981
Sn 0.6882 0.2500 0.1113
Sn 0.2522 0.2500 0.4940
Au 0.2564 0.7500 0.6413
La 0.7663 0.2500 0.7686
Sn 0.3118 0.7500 0.8887

***

Record 10
PmN | GGA-PBE | relaxed

## Properties
Spin magnetization, μB/f.u.: 0.00
Space group: Pm-3m, No. 221
ρ, g/cm3: 9.014
E, eV per atom: -7.17

Cell: 3.0826 3.0826 3.0826 Å, 90.00 90.00 90.00°
Atoms (fractional coordinates):
N 0.5000 0.5000 0.5000
Pm 0.0000 0.0000 0.0000